Record 1
VASP calculation (GGA-PBEsol) on an optimized crystal structure of SrP4Rh6.

Computed properties:
* energy of formation: -0.854 eV/atom
* uncorrected energy: -83.24 eV for the cell shown
* density of states at the Fermi level: 0.50 states/eV/atom

The structure in CIF format:
```
data_SrP4Rh6
_chemical_formula_sum 'Sr1 P4 Rh6'
_space_group_name_H-M_alt 'P 1'
_space_group_IT_number 1
_space_group_name_Hall 'P 1'
_cell_length_a 3.6980
_cell_length_b 6.9599
_cell_length_c 6.9599
_cell_angle_alpha 120.00
_cell_angle_beta 90.00
_cell_angle_gamma 90.00
loop_
_atom_site_label
_atom_site_type_symbol
_atom_site_fract_x
_atom_site_fract_y
_atom_site_fract_z
P1 P 0.0000 0.0000 0.0000
P2 P 0.5000 0.5254 0.0509
P3 P 0.5000 0.5254 0.4746
P4 P 0.5000 0.9491 0.4746
Rh1 Rh 0.0000 0.7995 0.5990
Rh2 Rh 0.0000 0.7995 0.2005
Rh3 Rh 0.0000 0.4010 0.2005
Rh4 Rh 0.5000 0.1321 0.2642
Rh5 Rh 0.5000 0.1321 0.8679
Rh6 Rh 0.5000 0.7358 0.8679
Sr1 Sr 0.0000 0.3333 0.6667
```

***

Record 2
VASP calculation (GGA-PBEsol) on an optimized crystal structure of SrPRh3.

Computed properties:
* energy of formation: -0.473 eV/atom
* uncorrected energy: -34.41 eV for the cell shown
* density of states at the Fermi level: 0.23 states/eV/atom

The structure in CIF format:
```
data_SrPRh3
_chemical_formula_sum 'Sr1 P1 Rh3'
_space_group_name_H-M_alt 'P 1'
_space_group_IT_number 1
_space_group_name_Hall 'P 1'
_cell_length_a 4.4417
_cell_length_b 4.4417
_cell_length_c 4.4417
_cell_angle_alpha 90.00
_cell_angle_beta 90.00
_cell_angle_gamma 90.00
loop_
_atom_site_label
_atom_site_type_symbol
_atom_site_fract_x
_atom_site_fract_y
_atom_site_fract_z
Sr1 Sr 0.5000 0.5000 0.5000
Rh1 Rh 0.0000 0.5000 0.0000
Rh2 Rh 0.0000 0.0000 0.5000
Rh3 Rh 0.5000 0.0000 0.0000
P1 P 0.0000 0.0000 0.0000
```

***

Record 3
VASP calculation (GGA-PBEsol) on an optimized crystal structure of Ta2PRh.

Computed properties:
* energy of formation: -0.285 eV/atom
* uncorrected energy: -40.17 eV for the cell shown
* density of states at the Fermi level: 0.80 states/eV/atom

The structure in CIF format:
```
data_Ta2PRh
_chemical_formula_sum 'Ta2 P1 Rh1'
_space_group_name_H-M_alt 'P 1'
_space_group_IT_number 1
_space_group_name_Hall 'P 1'
_cell_length_a 3.8863
_cell_length_b 3.8863
_cell_length_c 3.9856
_cell_angle_alpha 90.00
_cell_angle_beta 90.00
_cell_angle_gamma 90.00
loop_
_atom_site_label
_atom_site_type_symbol
_atom_site_fract_x
_atom_site_fract_y
_atom_site_fract_z
P1 P 0.5000 0.5000 0.5000
Rh1 Rh 0.0000 0.0000 0.5000
Ta1 Ta 0.0000 0.5000 0.0000
Ta2 Ta 0.5000 0.0000 0.0000
```

***

Record 4
VASP calculation (GGA-PBEsol) on an optimized crystal structure of TaP3Rh.

Computed properties:
* energy of formation: 0.879 eV/atom
* uncorrected energy: -33.67 eV for the cell shown
* density of states at the Fermi level: 0.86 states/eV/atom

The structure in CIF format:
```
data_TaP3Rh
_chemical_formula_sum 'Ta1 P3 Rh1'
_space_group_name_H-M_alt 'P 1'
_space_group_IT_number 1
_space_group_name_Hall 'P 1'
_cell_length_a 4.6743
_cell_length_b 4.6743
_cell_length_c 4.6743
_cell_angle_alpha 90.00
_cell_angle_beta 90.00
_cell_angle_gamma 90.00
loop_
_atom_site_label
_atom_site_type_symbol
_atom_site_fract_x
_atom_site_fract_y
_atom_site_fract_z
P1 P 0.0000 0.5000 0.0000
P2 P 0.0000 0.0000 0.5000
P3 P 0.5000 0.0000 0.0000
Rh1 Rh 0.5000 0.5000 0.5000
Ta1 Ta 0.0000 0.0000 0.0000
```

***

Record 5
VASP calculation (GGA-PBEsol) on an optimized crystal structure of Ta3PRh.

Computed properties:
* energy of formation: 1.301 eV/atom
* uncorrected energy: -45.08 eV for the cell shown
* density of states at the Fermi level: 1.16 states/eV/atom

The structure in CIF format:
```
data_Ta3PRh
_chemical_formula_sum 'Ta3 P1 Rh1'
_space_group_name_H-M_alt 'P 1'
_space_group_IT_number 1
_space_group_name_Hall 'P 1'
_cell_length_a 4.7276
_cell_length_b 4.7276
_cell_length_c 4.7276
_cell_angle_alpha 90.00
_cell_angle_beta 90.00
_cell_angle_gamma 90.00
loop_
_atom_site_label
_atom_site_type_symbol
_atom_site_fract_x
_atom_site_fract_y
_atom_site_fract_z
P1 P 0.5000 0.5000 0.5000
Rh1 Rh 0.0000 0.0000 0.0000
Ta1 Ta 0.0000 0.5000 0.0000
Ta2 Ta 0.0000 0.0000 0.5000
Ta3 Ta 0.5000 0.0000 0.0000
```

***

Record 6
VASP calculation (GGA-PBEsol) on an optimized crystal structure of TcP2Rh.

Computed properties:
* energy of formation: -0.192 eV/atom
* excess energy over the best structure of this formula in the dataset: 216 meV per atom
* uncorrected energy: -31.76 eV for the cell shown
* density of states at the Fermi level: 0.66 states/eV/atom

The structure in CIF format:
```
data_TcP2Rh
_chemical_formula_sum 'Tc1 P2 Rh1'
_space_group_name_H-M_alt 'P 1'
_space_group_IT_number 1
_space_group_name_Hall 'P 1'
_cell_length_a 2.8990
_cell_length_b 3.5761
_cell_length_c 5.1961
_cell_angle_alpha 90.00
_cell_angle_beta 90.00
_cell_angle_gamma 90.00
loop_
_atom_site_label
_atom_site_type_symbol
_atom_site_fract_x
_atom_site_fract_y
_atom_site_fract_z
P1 P 0.5000 0.0000 0.2157
P2 P 0.5000 0.0000 0.7843
Rh1 Rh 0.5000 0.5000 0.5000
Tc1 Tc 0.0000 0.5000 0.0000
```

***

Record 7
VASP calculation (GGA-PBEsol) on an optimized crystal structure of Tc2PRh.

Computed properties:
* energy of formation: 0.014 eV/atom
* uncorrected energy: -36.41 eV for the cell shown
* density of states at the Fermi level: 0.94 states/eV/atom

The structure in CIF format:
```
data_Tc2PRh
_chemical_formula_sum 'Tc2 P1 Rh1'
_space_group_name_H-M_alt 'P 1'
_space_group_IT_number 1
_space_group_name_Hall 'P 1'
_cell_length_a 2.8061
_cell_length_b 4.5883
_cell_length_c 4.5883
_cell_angle_alpha 115.31
_cell_angle_beta 90.00
_cell_angle_gamma 90.00
loop_
_atom_site_label
_atom_site_type_symbol
_atom_site_fract_x
_atom_site_fract_y
_atom_site_fract_z
P1 P 0.5000 0.0000 0.0000
Rh1 Rh 0.5000 0.5000 0.5000
Tc1 Tc 0.0000 0.5000 0.0000
Tc2 Tc 0.0000 0.0000 0.5000
```

***

Record 8
VASP calculation (GGA-PBEsol) on an optimized crystal structure of TcP2Rh.

Computed properties:
* energy of formation: -0.408 eV/atom
* excess energy over the best structure of this formula in the dataset: 0 meV per atom
* uncorrected energy: -32.62 eV for the cell shown
* density of states at the Fermi level: 0.60 states/eV/atom

The structure in CIF format:
```
data_TcP2Rh
_chemical_formula_sum 'Tc1 P2 Rh1'
_space_group_name_H-M_alt 'P 1'
_space_group_IT_number 1
_space_group_name_Hall 'P 1'
_cell_length_a 2.8953
_cell_length_b 2.8953
_cell_length_c 7.3812
_cell_angle_alpha 78.69
_cell_angle_beta 78.69
_cell_angle_gamma 60.00
loop_
_atom_site_label
_atom_site_type_symbol
_atom_site_fract_x
_atom_site_fract_y
_atom_site_fract_z
P1 P 0.2514 0.2514 0.2458
P2 P 0.7486 0.7486 0.7542
Rh1 Rh 0.5000 0.5000 0.5000
Tc1 Tc 0.0000 0.0000 0.0000
```

***

Record 9
VASP calculation (GGA-PBEsol) on an optimized crystal structure of TcPRh.

Computed properties:
* energy of formation: 0.202 eV/atom
* uncorrected energy: -24.59 eV for the cell shown
* density of states at the Fermi level: 1.31 states/eV/atom

The structure in CIF format:
```
data_TcPRh
_chemical_formula_sum 'Tc1 P1 Rh1'
_space_group_name_H-M_alt 'P 1'
_space_group_IT_number 1
_space_group_name_Hall 'P 1'
_cell_length_a 4.0154
_cell_length_b 4.0154
_cell_length_c 4.0154
_cell_angle_alpha 60.00
_cell_angle_beta 60.00
_cell_angle_gamma 60.00
loop_
_atom_site_label
_atom_site_type_symbol
_atom_site_fract_x
_atom_site_fract_y
_atom_site_fract_z
P1 P 0.5000 0.5000 0.5000
Rh1 Rh 0.2500 0.2500 0.2500
Tc1 Tc 0.0000 0.0000 0.0000
```

***

Record 10
VASP calculation (GGA-PBEsol) on an optimized crystal structure of Tc2PRh.

Computed properties:
* energy of formation: -0.175 eV/atom
* uncorrected energy: -37.16 eV for the cell shown
* density of states at the Fermi level: 0.80 states/eV/atom

The structure in CIF format:
```
data_Tc2PRh
_chemical_formula_sum 'Tc2 P1 Rh1'
_space_group_name_H-M_alt 'P 1'
_space_group_IT_number 1
_space_group_name_Hall 'P 1'
_cell_length_a 2.7598
_cell_length_b 2.7598
_cell_length_c 8.2232
_cell_angle_alpha 80.34
_cell_angle_beta 80.34
_cell_angle_gamma 60.00
loop_
_atom_site_label
_atom_site_type_symbol
_atom_site_fract_x
_atom_site_fract_y
_atom_site_fract_z
P1 P 0.5002 0.5002 0.4994
Rh1 Rh 0.2424 0.2424 0.2727
Tc1 Tc 0.0012 0.0012 0.9965
Tc2 Tc 0.7562 0.7562 0.7314
```

***

Record 11
VASP calculation (GGA-PBEsol) on an optimized crystal structure of TcP2Rh.

Computed properties:
* energy of formation: -0.012 eV/atom
* excess energy over the best structure of this formula in the dataset: 396 meV per atom
* uncorrected energy: -31.04 eV for the cell shown
* density of states at the Fermi level: 0.67 states/eV/atom

The structure in CIF format:
```
data_TcP2Rh
_chemical_formula_sum 'Tc1 P2 Rh1'
_space_group_name_H-M_alt 'P 1'
_space_group_IT_number 1
_space_group_name_Hall 'P 1'
_cell_length_a 2.9181
_cell_length_b 2.9078
_cell_length_c 7.4524
_cell_angle_alpha 90.00
_cell_angle_beta 90.00
_cell_angle_gamma 120.12
loop_
_atom_site_label
_atom_site_type_symbol
_atom_site_fract_x
_atom_site_fract_y
_atom_site_fract_z
P1 P 0.0000 0.0000 0.7510
P2 P 0.0000 0.0000 0.2490
Rh1 Rh 0.5000 0.0000 0.5000
Tc1 Tc 0.5000 0.0000 0.0000
```

***

Record 12
VASP calculation (GGA-PBEsol) on an optimized crystal structure of Tc2PRh.

Computed properties:
* energy of formation: 0.029 eV/atom
* uncorrected energy: -36.35 eV for the cell shown
* density of states at the Fermi level: 1.06 states/eV/atom

The structure in CIF format:
```
data_Tc2PRh
_chemical_formula_sum 'Tc2 P1 Rh1'
_space_group_name_H-M_alt 'P 1'
_space_group_IT_number 1
_space_group_name_Hall 'P 1'
_cell_length_a 2.8456
_cell_length_b 3.8206
_cell_length_c 4.9242
_cell_angle_alpha 90.00
_cell_angle_beta 90.00
_cell_angle_gamma 90.00
loop_
_atom_site_label
_atom_site_type_symbol
_atom_site_fract_x
_atom_site_fract_y
_atom_site_fract_z
P1 P 0.5000 0.5000 0.0000
Rh1 Rh 0.5000 0.5000 0.5000
Tc1 Tc 0.0000 0.0000 0.7621
Tc2 Tc 0.0000 0.0000 0.2379
```

***

Record 13
VASP calculation (GGA-PBEsol) on an optimized crystal structure of TcPRh3.

Computed properties:
* energy of formation: 0.517 eV/atom
* uncorrected energy: -38.89 eV for the cell shown
* density of states at the Fermi level: 0.40 states/eV/atom

The structure in CIF format:
```
data_TcPRh3
_chemical_formula_sum 'Tc1 P1 Rh3'
_space_group_name_H-M_alt 'P 1'
_space_group_IT_number 1
_space_group_name_Hall 'P 1'
_cell_length_a 4.3042
_cell_length_b 4.3042
_cell_length_c 4.3042
_cell_angle_alpha 90.00
_cell_angle_beta 90.00
_cell_angle_gamma 90.00
loop_
_atom_site_label
_atom_site_type_symbol
_atom_site_fract_x
_atom_site_fract_y
_atom_site_fract_z
P1 P 0.0000 0.0000 0.0000
Rh1 Rh 0.0000 0.5000 0.0000
Rh2 Rh 0.0000 0.0000 0.5000
Rh3 Rh 0.5000 0.0000 0.0000
Tc1 Tc 0.5000 0.5000 0.5000
```